# PBE Ce2ErScSb4, relaxed
# **V**: 29.699 A^3/atom
# **Space-group type**: No. 10
# **Formation energy from raw total energies**: -1.020 eV/atom
# **M_tot**: 1.539 μB per cell
data_Ce2ErScSb4
_cell_length_a 4.3866
_cell_length_b 7.6002
_cell_length_c 7.5629
_cell_angle_alpha 109.56
_cell_angle_beta 90.00
_cell_angle_gamma 90.00
_space_group_name_H-M_alt 'P 1'
_space_group_IT_number 1
_space_group_name_Hall 'P 1'
loop_
_atom_site_label
_atom_site_type_symbol
_atom_site_fract_x
_atom_site_fract_y
_atom_site_fract_z
Ce1 Ce 0.5000 0.0000 0.5000
Ce2 Ce 0.0000 0.5000 0.5000
Sb1 Sb 0.0000 0.2483 0.7627
Sb2 Sb 0.5000 0.7614 0.7668
Sb3 Sb 0.5000 0.2386 0.2332
Sb4 Sb 0.0000 0.7517 0.2373
Sc1 Sc 0.0000 0.0000 0.0000
Er1 Er 0.5000 0.5000 0.0000